Density functional theory data (PBE) for crystalline Zn3OsPt at its relaxed geometry.

Cell: 4.6874 4.6874 4.6874 Å, 90.00 90.00 90.00°
Positions (direct):
Zn  0.5000  0.0000  0.0000
Zn  0.0000  0.5000  0.0000
Os  0.5000  0.5000  0.5000
Zn  0.0000  0.0000  0.5000
Pt  0.0000  0.0000  0.0000

Computed properties:
* volume: 20.60 A^3/atom
* relative energy among the computed polymorphs: 0.000 eV/atom
* formation energy: 1.05 eV per atom